1.
The following is a GGA-PBE calculation of a relaxed structure of LaTi2Mn2, from the Alexandria database.

The structure belongs to space group P4/mbm (No. 127); the cell edges are 7.6868, 7.6868 and 3.0866 Å and the angles 90.00°, 90.00° and 90.00°. The distinct sites, in fractional coordinates, are La at (0.0000, 0.0000, 0.0000), Ti at (0.1344, 0.3656, 0.5000) and Mn at (0.1337, 0.6337, 0.0000).

The density of states at the Fermi level comes out at 12.31 states/eV per cell. The value obtained for the energy above the lowest structure with this stoichiometry is 0.0 kJ per mole of atoms. The formation energy comes out at 0.194 eV per atom.



2.
The following is a GGA-PBE calculation of a relaxed structure of La2TiMn2, from the Alexandria database.

The structure belongs to space group I4/mmm (No. 139); the cell edges are 4.4317, 4.4317 and 12.1776 Å and the angles 90.00°, 90.00° and 90.00°. The distinct sites, in fractional coordinates, are La at (0.0000, 0.5000, 0.2500), Ti at (0.0000, 0.0000, 0.0000) and Mn at (0.0000, 0.0000, 0.4105).

The density of states at the Fermi level comes out at 13.19 states/eV per cell. The value obtained for the energy above the lowest structure with this stoichiometry is 44.1 kJ per mole of atoms. The formation energy comes out at 0.767 eV per atom.



3.
The following is a GGA-PBE calculation of a relaxed structure of La2TiMn, from the Alexandria database.

The structure belongs to space group Fm-3m (No. 225); the cell edges are 7.2223, 7.2223 and 7.2223 Å and the angles 90.00°, 90.00° and 90.00°. The distinct sites, in fractional coordinates, are La at (0.2500, 0.2500, 0.2500), Ti at (0.0000, 0.0000, 0.0000) and Mn at (0.0000, 0.0000, 0.5000).

The density of states at the Fermi level comes out at 50.00 states/eV per cell. The value obtained for the energy above the lowest structure with this stoichiometry is 6.9 kJ per mole of atoms. The formation energy comes out at 0.603 eV per atom.



4.
The following is a GGA-PBE calculation of a relaxed structure of La3TiMn, from the Alexandria database.

The structure belongs to space group Pm-3m (No. 221); the cell edges are 5.2979, 5.2979 and 5.2979 Å and the angles 90.00°, 90.00° and 90.00°. The distinct sites, in fractional coordinates, are La at (0.0000, 0.0000, 0.5000), Ti at (0.5000, 0.5000, 0.5000) and Mn at (0.0000, 0.0000, 0.0000).

The density of states at the Fermi level comes out at 8.22 states/eV per cell. The formation energy comes out at 0.473 eV per atom.



5.
The following is a GGA-PBE calculation of a relaxed structure of La2TiMn, from the Alexandria database.

The structure belongs to space group I-42d (No. 122); the cell edges are 10.4744, 10.4744 and 4.4641 Å and the angles 90.00°, 90.00° and 90.00°. The distinct sites, in fractional coordinates, are La at (0.0835, 0.7500, 0.1250), Ti at (0.0000, 0.0000, 0.5000) and Mn at (0.0000, 0.0000, 0.0000).

The density of states at the Fermi level comes out at 22.96 states/eV per cell. The value obtained for the energy above the lowest structure with this stoichiometry is 0.0 kJ per mole of atoms. The formation energy comes out at 0.532 eV per atom.



6.
The following is a GGA-PBE calculation of a relaxed structure of LaTiMn2, from the Alexandria database.

The structure belongs to space group I4_1/amd (No. 141, origin choice 2); the cell edges are 4.5482, 4.5482 and 16.2528 Å and the angles 90.00°, 90.00° and 90.00°. The distinct sites, in fractional coordinates, are La at (0.0000, 0.2500, 0.3750), Ti at (0.0000, 0.2500, 0.8750) and Mn at (0.0000, 0.0000, 0.0000).

The density of states at the Fermi level comes out at 21.28 states/eV per cell. The value obtained for the energy above the lowest structure with this stoichiometry is 22.7 kJ per mole of atoms. The formation energy comes out at 0.648 eV per atom.



7.
The following is a GGA-PBE calculation of a relaxed structure of La2TiMnV, from the Alexandria database.

The structure belongs to space group P4/mmm (No. 123); the cell edges are 5.5675, 5.5675 and 4.1031 Å and the angles 90.00°, 90.00° and 90.00°. The distinct sites, in fractional coordinates, are La at (0.0000, 0.5000, 0.0000), Ti at (0.0000, 0.0000, 0.5000), Mn at (0.5000, 0.5000, 0.5000) and V at (0.5000, 0.5000, 0.0000).

The density of states at the Fermi level comes out at 8.81 states/eV per cell. The formation energy comes out at 0.871 eV per atom.



8.
The following is a GGA-PBE calculation of a relaxed structure of LaMn2Tl, from the Alexandria database.

The structure belongs to space group I-4m2 (No. 119); the cell edges are 4.4886, 4.4886 and 9.0031 Å and the angles 90.00°, 90.00° and 90.00°. The distinct sites, in fractional coordinates, are La at (0.0000, 0.0000, 0.0000), Mn at (0.0000, 0.0000, 0.5000), Mn at (0.0000, 0.5000, 0.7500) and Tl at (0.0000, 0.5000, 0.2500).

The density of states at the Fermi level comes out at 9.32 states/eV per cell. The value obtained for the energy above the lowest structure with this stoichiometry is 16.7 kJ per mole of atoms. The formation energy comes out at 0.346 eV per atom.



9.
The following is a GGA-PBE calculation of a relaxed structure of La2MnTl, from the Alexandria database.

The structure belongs to space group Pm (No. 6); the cell edges are 3.8033, 4.9562 and 6.5397 Å and the angles 90.00°, 106.81° and 90.00°. The distinct sites, in fractional coordinates, are La at (0.0000, 0.0000, 0.0000), La at (0.3008, 0.5000, 0.6039), Mn at (0.5809, 0.5000, 0.1622) and Tl at (0.7172, 0.0000, 0.4359).

The density of states at the Fermi level comes out at 4.16 states/eV per cell. The formation energy comes out at -0.026 eV per atom.



10.
The following is a GGA-PBE calculation of a relaxed structure of La2MnTl, from the Alexandria database.

The structure belongs to space group I-4m2 (No. 119); the cell edges are 4.7133, 4.7133 and 9.9539 Å and the angles 90.00°, 90.00° and 90.00°. The distinct sites, in fractional coordinates, are La at (0.0000, 0.0000, 0.0000), La at (0.0000, 0.5000, 0.2500), Mn at (0.0000, 0.5000, 0.7500) and Tl at (0.0000, 0.0000, 0.5000).

The density of states at the Fermi level comes out at 8.95 states/eV per cell. The formation energy comes out at 0.038 eV per atom.



11.
The following is a GGA-PBE calculation of a relaxed structure of LaMn2Tl, from the Alexandria database.

The structure belongs to space group R-3m (No. 166, hexagonal axes); the cell edges are 3.3869, 3.3869 and 28.5668 Å and the angles 90.00°, 90.00° and 120.00°. The distinct sites, in fractional coordinates, are La at (0.0000, 0.0000, 0.0000), Mn at (0.0000, 0.0000, 0.2461) and Tl at (0.0000, 0.0000, 0.5000).

The density of states at the Fermi level comes out at 11.05 states/eV per cell. The value obtained for the energy above the lowest structure with this stoichiometry is 38.8 kJ per mole of atoms. The formation energy comes out at 0.575 eV per atom.



12.
The following is a GGA-PBE calculation of a relaxed structure of LaMn2Tl, from the Alexandria database.

The structure belongs to space group Fm-3m (No. 225); the cell edges are 7.0189, 7.0189 and 7.0189 Å and the angles 90.00°, 90.00° and 90.00°. The distinct sites, in fractional coordinates, are La at (0.0000, 0.0000, 0.0000), Mn at (0.2500, 0.2500, 0.2500) and Tl at (0.0000, 0.0000, 0.5000).

The density of states at the Fermi level comes out at 14.72 states/eV per cell. The value obtained for the energy above the lowest structure with this stoichiometry is 12.4 kJ per mole of atoms. The formation energy comes out at 0.301 eV per atom.



13.
The following is a GGA-PBE calculation of a relaxed structure of LaMn2Tl, from the Alexandria database.

The structure belongs to space group Imm2 (No. 44); the cell edges are 3.3266, 4.9724 and 10.7214 Å and the angles 90.00°, 90.00° and 90.00°. The distinct sites, in fractional coordinates, are La at (0.0000, 0.0000, 0.0000), Mn at (0.0000, 0.0000, 0.4774), Mn at (0.0000, 0.5000, 0.7949) and Tl at (0.0000, 0.5000, 0.2157).

The density of states at the Fermi level comes out at 5.27 states/eV per cell. The value obtained for the energy above the lowest structure with this stoichiometry is 11.8 kJ per mole of atoms. The formation energy comes out at 0.295 eV per atom.



14.
The following is a GGA-PBE calculation of a relaxed structure of LaMn4Tl, from the Alexandria database.

The structure belongs to space group F-43m (No. 216); the cell edges are 7.5048, 7.5048 and 7.5048 Å and the angles 90.00°, 90.00° and 90.00°. The distinct sites, in fractional coordinates, are La at (0.0000, 0.0000, 0.0000), Mn at (0.1248, 0.1248, 0.6248) and Tl at (0.2500, 0.2500, 0.2500).

The density of states at the Fermi level comes out at 29.40 states/eV per cell. The formation energy comes out at 0.338 eV per atom.